Computed, not measured: a relaxed structure of Pm3Pr3In at the GGA-PBE level of DFT.

Output
M_tot ... 0.00 μB/atom
ΔH_f (0 K) ... -0.042 eV per atom
Distance to the lowest polymorph of the same formula ... 51.8 meV per atom

abc: 13.7440 5.3048 13.0861
angles: 90.00 90.00 90.00
Space group Pnma (No. 62)
Unique sites:
Pm (0.0134, 0.2500, 0.0650) [4 per cell]
Pm (0.0557, 0.2500, 0.5680) [4 per cell]
Pm (0.2350, 0.7500, 0.4277) [4 per cell]
Pr (0.0900, 0.2500, 0.3056) [4 per cell]
Pr (0.1752, 0.7500, 0.7201) [4 per cell]
Pr (0.1893, 0.7500, 0.1132) [4 per cell]
In (0.0448, 0.2500, 0.8105) [4 per cell]